Entry 1:
## LiBe4Ni (SCAN)

Data for LiBe4Ni at its PBEsol-relaxed geometry.

Cell: 4.1964 4.1964 4.1964 Å, 60.00 60.00 60.00°
With the nearest neighbours (Å) after each atom.
Fractional coordinates of all 6 atoms:
Li1 0.0000 0.0000 0.0000  12 Be 2.46, 4 Ni 2.57
Be1 0.1274 0.6242 0.6242  6 Be 2.08-2.11
Be2 0.6242 0.1274 0.6242  6 Be 2.08-2.11
Be3 0.6242 0.6242 0.1274  6 Be 2.08-2.11
Be4 0.6242 0.6242 0.6242  6 Be 2.08-2.11
Ni1 0.2500 0.2500 0.2500  12 Be 2.46, 4 Li 2.57

## Properties
SG: F-43m, No. 216
ΔE_f: -0.154 eV/atom
calculated volume: 52 Å³/cell

Entry 2:
## LiBeNi6 (SCAN)

Data for LiBeNi6 at its PBEsol-relaxed geometry.

Cell: 5.9211 5.9211 9.6669 Å, 90.00 90.00 109.40°
With the nearest neighbours (Å) after each atom.
Fractional coordinates of all 32 atoms:
Li1 0.0000 0.0000 0.2487  12 Ni 2.40-2.45
Li2 0.0000 0.0000 0.7513  12 Ni 2.40-2.45
Li3 0.2472 0.7528 0.5000  12 Ni 2.39-2.47
Li4 0.7528 0.2472 0.5000  12 Ni 2.39-2.47
Be1 0.2462 0.7538 0.0000  12 Ni 2.37-2.45
Be2 0.5000 0.5000 0.2491  12 Ni 2.38-2.43
Be3 0.5000 0.5000 0.7509  12 Ni 2.38-2.43
Be4 0.7538 0.2462 0.0000  12 Ni 2.37-2.45
Ni1 0.0000 0.0000 0.0000  2 Be 2.38, 2 Li 2.40, 8 Ni 2.43
Ni2 0.0000 0.0000 0.5000  4 Li 2.39-2.43, 8 Ni 2.45
Ni3 0.1280 0.3806 0.1224  8 Ni 2.37-2.44, 3 Be 2.40-2.41, 1 Li 2.45
Ni4 0.1280 0.3806 0.8776  8 Ni 2.37-2.44, 3 Be 2.40-2.41, 1 Li 2.45
Ni5 0.1314 0.3787 0.3722  1 Be 2.38, 8 Ni 2.39-2.47, 3 Li 2.43-2.45
Ni6 0.1314 0.3787 0.6278  1 Be 2.38, 8 Ni 2.39-2.47, 3 Li 2.43-2.45
Ni7 0.2521 0.7479 0.2448  2 Be 2.37-2.40, 8 Ni 2.37-2.47, 2 Li 2.44-2.47
Ni8 0.2521 0.7479 0.7552  2 Be 2.37-2.40, 8 Ni 2.37-2.47, 2 Li 2.44-2.47
Ni9 0.3787 0.1314 0.3722  1 Be 2.38, 8 Ni 2.39-2.47, 3 Li 2.43-2.45
Ni10 0.3787 0.1314 0.6278  1 Be 2.38, 8 Ni 2.39-2.47, 3 Li 2.43-2.45
Ni11 0.3806 0.1280 0.1224  8 Ni 2.37-2.44, 3 Be 2.40-2.41, 1 Li 2.45
Ni12 0.3806 0.1280 0.8776  8 Ni 2.37-2.44, 3 Be 2.40-2.41, 1 Li 2.45
Ni13 0.5000 0.5000 0.0000  8 Ni 2.39, 4 Be 2.41-2.45
Ni14 0.5000 0.5000 0.5000  8 Ni 2.40, 2 Be 2.43, 2 Li 2.44
Ni15 0.6194 0.8720 0.1224  8 Ni 2.37-2.44, 3 Be 2.40-2.41, 1 Li 2.45
Ni16 0.6194 0.8720 0.8776  8 Ni 2.37-2.44, 3 Be 2.40-2.41, 1 Li 2.45
Ni17 0.6213 0.8686 0.3722  1 Be 2.38, 8 Ni 2.39-2.47, 3 Li 2.43-2.45
Ni18 0.6213 0.8686 0.6278  1 Be 2.38, 8 Ni 2.39-2.47, 3 Li 2.43-2.45
Ni19 0.7479 0.2521 0.2448  2 Be 2.37-2.40, 8 Ni 2.37-2.47, 2 Li 2.44-2.47
Ni20 0.7479 0.2521 0.7552  2 Be 2.37-2.40, 8 Ni 2.37-2.47, 2 Li 2.44-2.47
Ni21 0.8686 0.6213 0.3722  1 Be 2.38, 8 Ni 2.39-2.47, 3 Li 2.43-2.45
Ni22 0.8686 0.6213 0.6278  1 Be 2.38, 8 Ni 2.39-2.47, 3 Li 2.43-2.45
Ni23 0.8720 0.6194 0.1224  8 Ni 2.37-2.44, 3 Be 2.40-2.41, 1 Li 2.45
Ni24 0.8720 0.6194 0.8776  8 Ni 2.37-2.44, 3 Be 2.40-2.41, 1 Li 2.45

## Properties
SG: Cmmm, No. 65
ΔE_f: -0.070 eV/atom
calculated volume: 320 Å³/cell

Entry 3:
## Li2BePtO (SCAN)

Data for Li2BePtO at its PBEsol-relaxed geometry.

Cell: 3.4290 3.4290 4.8300 Å, 90.00 90.00 90.00°
With the nearest neighbours (Å) after each atom.
Fractional coordinates of all 5 atoms:
Li1 0.0000 0.5000 0.0000  2 O 1.71
Li2 0.5000 0.0000 0.0000  2 O 1.71
Be1 0.0000 0.0000 0.5000  4 Pt 2.42
Pt1 0.5000 0.5000 0.5000  2 O 2.41, 4 Be 2.42
O1 0.5000 0.5000 0.0000  4 Li 1.71

## Properties
SG: P4/mmm, No. 123
formation energy (no corrections): -77 kJ/mol of atoms
calculated volume: 57 Å³/cell

Entry 4:
## Li2BeSiO4 (SCAN)

Data for Li2BeSiO4 at its PBEsol-relaxed geometry.

Cell: 4.6933 4.9422 7.6856 Å, 90.00 127.61 90.00°
With the nearest neighbours (Å) after each atom.
Fractional coordinates of all 16 atoms:
Li1 0.0000 0.1654 0.0000  4 O 1.93-1.99
Li2 0.0000 0.8346 0.5000  4 O 1.93-1.99
Li3 0.7470 0.3241 0.2472  4 O 1.94-1.99
Li4 0.7470 0.6759 0.7472  4 O 1.94-1.99
Be1 0.4873 0.1792 0.4982  4 O 1.64-1.66
Be2 0.4873 0.8208 0.9982  4 O 1.64-1.66
Si1 0.2384 0.3210 0.7495  4 O 1.64-1.65
Si2 0.2384 0.6790 0.2495  4 O 1.64-1.65
O1 0.1710 0.1992 0.5288  1 Si 1.64, 1 Be 1.64
O2 0.1710 0.8008 0.0288  1 Si 1.64, 1 Be 1.64
O3 0.3601 0.3597 0.2798  1 Si 1.65, 1 Be 1.66
O4 0.3601 0.6403 0.7798  1 Si 1.65, 1 Be 1.66
O5 0.5469 0.1419 0.9664  1 Si 1.65, 1 Be 1.66
O6 0.5469 0.8581 0.4664  1 Si 1.65, 1 Be 1.66
O7 0.8606 0.3008 0.7193  1 Be 1.64, 1 Si 1.65
O8 0.8606 0.6992 0.2193  1 Be 1.64, 1 Si 1.65

## Properties
SG: Pc, No. 7
formation energy (no corrections): -277 kJ/mol of atoms
calculated volume: 141 Å³/cell

Entry 5:
## LiYBe2O (SCAN)

Data for LiYBe2O at its PBEsol-relaxed geometry.

Cell: 4.1002 4.1002 3.8418 Å, 90.00 90.00 90.00°
With the nearest neighbours (Å) after each atom.
Fractional coordinates of all 5 atoms:
Li1 0.0000 0.0000 0.0000  2 O 1.92, 4 Be 2.05
Y1 0.5000 0.5000 0.5000  8 Be 2.81, 4 O 2.90
Be1 0.0000 0.5000 0.0000  2 Li 2.05
Be2 0.5000 0.0000 0.0000  2 Li 2.05
O1 0.0000 0.0000 0.5000  2 Li 1.92

## Properties
SG: P4/mmm, No. 123
formation energy (no corrections): 0 kJ/mol of atoms
calculated volume: 65 Å³/cell

Entry 6:
## Li4BeOs (SCAN)

Data for Li4BeOs at its PBEsol-relaxed geometry.

Cell: 4.6002 4.6002 4.6002 Å, 60.00 60.00 60.00°
With the nearest neighbours (Å) after each atom.
Fractional coordinates of all 6 atoms:
Li1 0.1241 0.1241 0.1241  6 Li 2.28-2.32
Li2 0.1241 0.1241 0.6276  6 Li 2.28-2.32
Li3 0.1241 0.6276 0.1241  6 Li 2.28-2.32
Li4 0.6276 0.1241 0.1241  6 Li 2.28-2.32
Be1 0.5000 0.5000 0.5000  12 Li 2.70, 4 Os 2.82
Os1 0.7500 0.7500 0.7500  12 Li 2.70, 4 Be 2.82

## Properties
SG: F-43m, No. 216
ΔE_f: 0.449 eV/atom
calculated volume: 69 Å³/cell

Entry 7:
## LiBeOs (SCAN)

Data for LiBeOs at its PBEsol-relaxed geometry.

Cell: 4.3379 4.3379 4.3379 Å, 147.36 128.46 62.35°
With the nearest neighbours (Å) after each atom.
Fractional coordinates of all 3 atoms:
Li1 0.0000 0.0000 0.0000  5 Os 2.42-2.59, 2 Li 2.44, 5 Be 2.47-2.57
Be1 0.3322 0.3322 0.0000  2 Be 2.44, 5 Li 2.47-2.57, 5 Os 2.53-2.54
Os1 0.6746 0.6746 0.0000  5 Li 2.42-2.59, 2 Os 2.44, 5 Be 2.53-2.54

## Properties
SG: Imm2, No. 44
ΔE_f: 0.092 eV/atom
calculated volume: 34 Å³/cell

Entry 8:
## LiBe2Os2 (SCAN)

Data for LiBe2Os2 at its PBEsol-relaxed geometry.

Cell: 5.7641 5.7641 3.1250 Å, 90.00 90.00 90.00°
With the nearest neighbours (Å) after each atom.
Fractional coordinates of all 10 atoms:
Li1 0.0000 0.0000 0.0000  4 Be 2.28
Li2 0.5000 0.5000 0.0000  4 Be 2.28
Be1 0.1242 0.3758 0.0000  1 Be 2.03
Be2 0.3758 0.8758 0.0000  1 Be 2.03
Be3 0.6242 0.1242 0.0000  1 Be 2.03
Be4 0.8758 0.6242 0.0000  1 Be 2.03
Os1 0.1732 0.6732 0.5000  6 Be 2.27-2.34
Os2 0.3268 0.1732 0.5000  6 Be 2.27-2.34
Os3 0.6732 0.8268 0.5000  6 Be 2.27-2.34
Os4 0.8268 0.3268 0.5000  6 Be 2.27-2.34

## Properties
SG: P4/mbm, No. 127
ΔE_f: -0.191 eV/atom
calculated volume: 104 Å³/cell

Entry 9:
## LiBeOs2Pb (SCAN)

Data for LiBeOs2Pb at its PBEsol-relaxed geometry.

Cell: 4.3151 4.3151 3.7841 Å, 90.00 90.00 90.00°
With the nearest neighbours (Å) after each atom.
Fractional coordinates of all 5 atoms:
Li1 0.0000 0.0000 0.0000  2 Be 1.89
Be1 0.0000 0.0000 0.5000  2 Li 1.89
Os1 0.0000 0.5000 0.0000  2 Li 2.16
Os2 0.5000 0.0000 0.0000  2 Li 2.16
Pb1 0.5000 0.5000 0.5000  8 Os 2.87, 4 Be 3.05

## Properties
SG: P4/mmm, No. 123
ΔE_f: 1.315 eV/atom
calculated volume: 70 Å³/cell

Entry 10:
## Li2BeP (SCAN)

Data for Li2BeP at its PBEsol-relaxed geometry.

Cell: 4.5251 4.5251 4.5251 Å, 135.17 135.17 65.27°
With the nearest neighbours (Å) after each atom.
Fractional coordinates of all 4 atoms:
Li1 0.2500 0.7500 0.5000  4 Li 2.44, 4 Be 2.57, 4 P 2.57
Li2 0.7500 0.2500 0.5000  4 Li 2.44, 4 Be 2.57, 4 P 2.57
Be1 0.0000 0.0000 0.0000  4 P 2.44, 8 Li 2.57
P1 0.5000 0.5000 0.0000  4 Be 2.44, 8 Li 2.57

## Properties
SG: I4/mmm, No. 139
ΔE_f: -0.218 eV/atom
calculated volume: 45 Å³/cell

Entry 11:
## Li2BeP (SCAN)

Data for Li2BeP at its PBEsol-relaxed geometry.

Cell: 4.5377 4.5377 4.5377 Å, 134.58 127.88 71.58°
With the nearest neighbours (Å) after each atom.
Fractional coordinates of all 4 atoms:
Li1 0.0000 0.0000 0.0000  4 P 2.55-2.72, 4 Li 2.58-2.69, 4 Be 2.69
Li2 0.7234 0.2234 0.5000  4 Be 2.54-2.74, 4 Li 2.58-2.69, 4 P 2.69
Be1 0.4367 0.4367 0.0000  2 P 2.08
P1 0.2835 0.7835 0.5000  2 Be 2.08

## Properties
SG: Imm2, No. 44
ΔE_f: -0.305 eV/atom
calculated volume: 51 Å³/cell

Entry 12:
## Li2BeP (SCAN)

Data for Li2BeP at its PBEsol-relaxed geometry.

Cell: 5.0735 5.0735 5.0735 Å, 42.46 42.46 42.46°
With the nearest neighbours (Å) after each atom.
Fractional coordinates of all 4 atoms:
Li1 0.0000 0.0000 0.0000  3 P 2.48, 3 Be 2.63, 3 Li 2.71
Li2 0.2116 0.2116 0.2116  3 Be 2.52, 3 P 2.68, 3 Li 2.71
Be1 0.7797 0.7797 0.7797  3 P 2.14
P1 0.4260 0.4260 0.4260  3 Be 2.14

## Properties
SG: R3m, No. 160
ΔE_f: -0.413 eV/atom
calculated volume: 54 Å³/cell